First-principles (PBE) data for an optimized crystal structure of BeOsBr, as listed in the Alexandria database.

Calculated values
Symmetry   F-43m
Uncorrected formation energy   1.2300 eV/atom
Crystal system   cubic
Relative energy among the computed polymorphs   0.6040 eV per atom
Calculated density   9.4 g cm⁻³

Cell and atoms, written as POSCAR:
```
BeOsBr
1.0
0.000 2.915 2.915
2.915 0.000 2.915
2.915 2.915 0.000
Be Os Br
1 1 1
direct
0.000 0.000 0.000
0.750 0.750 0.750
0.500 0.500 0.500
```